(1)
KMnSn2Cl8: relaxed, PBE-GGA.

```
KMnSn2Cl8
1.0
6.4009 0.0000 0.0000
0.6633 7.1795 0.0000
2.3414 1.4167 8.0444
K Mn Sn Cl
1 1 2 8
Direct
0.0000 0.0000 0.0000
0.0000 0.0000 0.5000
0.4357 0.3965 0.2581
0.5643 0.6035 0.7419
0.1551 0.1893 0.6175
0.2008 0.7397 0.5916
0.2408 0.5945 0.0156
0.3310 0.0816 0.2126
0.6690 0.9184 0.7874
0.7592 0.4055 0.9844
0.7992 0.2603 0.4084
0.8449 0.8107 0.3825
```

Values from the calculation:
V	369.7	Å³ per cell
theoretical density	2.76	g cm⁻³
SG	P-1, No. 2
uncorrected formation energy	-1151	meV/atom



(2)
KMnSnCl5: relaxed, PBE-GGA.

```
KMnSnCl5
1.0
4.5785 -6.1263 0.0000
4.5785 6.1263 0.0000
-4.0151 0.0000 9.2823
K Mn Sn Cl
2 2 2 10
Direct
0.1538 0.8462 0.7500
0.8462 0.1538 0.2500
0.1829 0.8171 0.2500
0.8171 0.1829 0.7500
0.5000 0.5000 0.0000
0.5000 0.5000 0.5000
0.1073 0.2353 0.9294
0.1662 0.5846 0.3685
0.2353 0.1073 0.4294
0.4070 0.5930 0.7500
0.4154 0.8338 0.1315
0.5846 0.1662 0.8685
0.5930 0.4070 0.2500
0.7647 0.8927 0.5706
0.8338 0.4154 0.6315
0.8927 0.7647 0.0706
```

Values from the calculation:
V	520.7	Å³ per cell
theoretical density	2.49	g cm⁻³
SG	C2/c, No. 15
uncorrected formation energy	-1285	meV/atom



(3)
K3Mn2SnCl9: relaxed, PBE-GGA.

```
K3Mn2SnCl9
1.0
7.2985 0.0000 0.0000
-3.6492 6.3207 0.0000
0.0000 0.0000 9.3259
K Mn Sn Cl
3 2 1 9
Direct
0.0000 0.0000 0.0000
0.3333 0.6667 0.7169
0.6667 0.3333 0.2831
0.3333 0.6667 0.1597
0.6667 0.3333 0.8403
0.0000 0.0000 0.5000
0.0000 0.5000 0.0000
0.1715 0.3430 0.3104
0.1715 0.8285 0.3104
0.3430 0.1715 0.6896
0.5000 0.0000 0.0000
0.5000 0.5000 0.0000
0.6570 0.8285 0.3104
0.8285 0.1715 0.6896
0.8285 0.6570 0.6896
```

Values from the calculation:
V	430.2	Å³ per cell
theoretical density	2.57	g cm⁻³
SG	P-3m1, No. 164
uncorrected formation energy	-1404	meV/atom



(4)
K2MnSnCl6: relaxed, PBE-GGA.

```
K2MnSnCl6
1.0
7.3355 0.0000 0.0000
-3.5845 6.4209 0.0000
-0.0466 -4.1752 6.1103
K Mn Sn Cl
2 1 1 6
Direct
0.2413 0.0068 0.2715
0.7587 0.9932 0.7285
0.0000 0.5000 0.5000
0.5000 0.5000 0.0000
0.1948 0.9740 0.6940
0.2088 0.5705 0.8287
0.3020 0.5093 0.3306
0.6980 0.4907 0.6694
0.7912 0.4295 0.1713
0.8052 0.0260 0.3060
```

Values from the calculation:
V	287.8	Å³ per cell
theoretical density	2.68	g cm⁻³
SG	P-1, No. 2
uncorrected formation energy	-1419	meV/atom



(5)
KSrMnCl6: relaxed, PBE-GGA.

```
KSrMnCl6
1.0
7.0615 0.0000 0.0000
-3.5308 6.1154 0.0000
0.0000 0.0000 13.0733
K Sr Mn Cl
2 2 2 12
Direct
0.0000 0.0000 0.0000
0.0000 0.0000 0.5000
0.3333 0.6667 0.2500
0.6667 0.3333 0.7500
0.3333 0.6667 0.7500
0.6667 0.3333 0.2500
0.0526 0.3942 0.6419
0.0526 0.6584 0.8581
0.3416 0.3942 0.8581
0.3416 0.9474 0.6419
0.3942 0.0526 0.1419
0.3942 0.3416 0.3581
0.6058 0.6584 0.6419
0.6058 0.9474 0.8581
0.6584 0.0526 0.3581
0.6584 0.6058 0.1419
0.9474 0.3416 0.1419
0.9474 0.6058 0.3581
```

Values from the calculation:
V	564.6	Å³ per cell
theoretical density	2.32	g cm⁻³
SG	P-31c, No. 163
uncorrected formation energy	-1669	meV/atom



(6)
KSr2MnCl8: relaxed, PBE-GGA.

```
KSr2MnCl8
1.0
6.4118 0.0000 0.0000
0.0000 8.7343 0.0000
-0.2468 0.0000 6.7453
K Sr Mn Cl
1 2 1 8
Direct
0.0000 0.0000 0.0000
0.5000 0.2615 0.5000
0.5000 0.7385 0.5000
0.0000 0.5000 0.0000
0.2045 0.3121 0.1460
0.2045 0.6879 0.1460
0.2569 0.5000 0.6817
0.2919 0.0000 0.6598
0.7081 0.0000 0.3402
0.7431 0.5000 0.3183
0.7955 0.3121 0.8540
0.7955 0.6879 0.8540
```

Values from the calculation:
V	377.8	Å³ per cell
theoretical density	2.43	g cm⁻³
SG	P2/m, No. 10
uncorrected formation energy	-1842	meV/atom



(7)
K2SrMnCl: relaxed, PBE-GGA.

```
K2SrMnCl
1.0
6.4643 0.0000 0.0000
0.0000 6.4643 0.0000
0.0000 0.0000 6.1075
K Sr Mn Cl
2 1 1 1
Direct
0.0000 0.5000 0.0000
0.5000 0.0000 0.0000
0.0000 0.0000 0.5000
0.0000 0.0000 0.0000
0.5000 0.5000 0.5000
```

Values from the calculation:
V	255.2	Å³ per cell
theoretical density	1.67	g cm⁻³
SG	P4/mmm, No. 123
uncorrected formation energy	220	meV/atom



(8)
K2SrMnCl6: relaxed, PBE-GGA.

```
K2SrMnCl6
1.0
7.2925 0.0000 0.0000
0.0000 7.5812 0.0000
-7.1748 0.0000 10.4588
K Sr Mn Cl
4 2 2 12
Direct
0.2268 0.0656 0.2477
0.2268 0.4344 0.7477
0.7732 0.5656 0.2523
0.7732 0.9344 0.7523
0.5000 0.0000 0.0000
0.5000 0.5000 0.5000
0.0000 0.0000 0.5000
0.0000 0.5000 0.0000
0.1306 0.2168 0.9468
0.1306 0.2832 0.4468
0.2346 0.6872 0.9516
0.2346 0.8128 0.4516
0.3299 0.0279 0.7324
0.3299 0.4721 0.2324
0.6701 0.5279 0.7676
0.6701 0.9721 0.2676
0.7654 0.1872 0.5484
0.7654 0.3128 0.0484
0.8694 0.7168 0.5532
0.8694 0.7832 0.0532
```

Values from the calculation:
V	578.2	Å³ per cell
theoretical density	2.49	g cm⁻³
SG	P2_1/c, No. 14
uncorrected formation energy	-1855	meV/atom



(9)
KSrMn2Cl8: relaxed, PBE-GGA.

```
KSrMn2Cl8
1.0
6.7871 0.0000 0.0000
-3.3935 5.8778 0.0000
0.0000 0.0000 9.6591
K Sr Mn Cl
1 1 2 8
Direct
0.0000 0.0000 0.0000
0.0000 0.0000 0.5000
0.3333 0.6667 0.7589
0.6667 0.3333 0.2411
0.0114 0.3334 0.6941
0.3220 0.9886 0.6941
0.3334 0.3220 0.3059
0.3333 0.6667 0.9879
0.6667 0.3333 0.0121
0.6666 0.6780 0.6941
0.6780 0.0114 0.3059
0.9886 0.6666 0.3059
```

Values from the calculation:
V	385.3	Å³ per cell
theoretical density	2.24	g cm⁻³
SG	P-3, No. 147
uncorrected formation energy	-1480	meV/atom



(10)
KTiMn2Cl8: relaxed, PBE-GGA.

```
KTiMn2Cl8
1.0
3.1203 1.8015 10.3449
-3.1203 1.8015 10.3449
0.0000 -3.6030 10.3449
K Ti Mn Cl
1 1 2 8
Direct
0.0000 0.0000 0.0000
0.5000 0.5000 0.5000
0.2409 0.2409 0.2409
0.7591 0.7591 0.7591
0.1540 0.4303 0.7614
0.2386 0.5697 0.8460
0.3143 0.3143 0.3143
0.4303 0.7614 0.1540
0.5697 0.8460 0.2386
0.6857 0.6857 0.6857
0.7614 0.1540 0.4303
0.8460 0.2386 0.5697
```

Values from the calculation:
V	348.9	Å³ per cell
theoretical density	2.29	g cm⁻³
SG	R32, No. 155
uncorrected formation energy	-1289	meV/atom



(11)
KMnTlCl6: relaxed, PBE-GGA.

```
KMnTlCl6
1.0
7.4990 0.0000 0.0000
-3.7495 6.4943 0.0000
0.0000 0.0000 11.5704
K Mn Tl Cl
2 2 2 12
Direct
0.0000 0.0000 0.0000
0.0000 0.0000 0.5000
0.3333 0.6667 0.2500
0.6667 0.3333 0.7500
0.3333 0.6667 0.7500
0.6667 0.3333 0.2500
0.0863 0.4160 0.1348
0.0863 0.6702 0.3652
0.3298 0.4160 0.3652
0.3298 0.9137 0.1348
0.4160 0.0863 0.6348
0.4160 0.3298 0.8652
0.5840 0.6702 0.1348
0.5840 0.9137 0.3652
0.6702 0.0863 0.8652
0.6702 0.5840 0.6348
0.9137 0.3298 0.6348
0.9137 0.5840 0.8652
```

Values from the calculation:
V	563.5	Å³ per cell
theoretical density	3.01	g cm⁻³
SG	P-31c, No. 163
uncorrected formation energy	-1138	meV/atom



(12)
K3Mn2TlCl8: relaxed, PBE-GGA.

```
K3Mn2TlCl8
1.0
7.8932 0.0000 0.0000
-3.9466 6.8357 0.0000
0.0000 0.0000 8.9306
K Mn Tl Cl
3 2 1 8
Direct
0.0000 0.0000 0.0000
0.3333 0.6667 0.5833
0.6667 0.3333 0.4167
0.3333 0.6667 0.1704
0.6667 0.3333 0.8296
0.0000 0.0000 0.5000
0.1776 0.3551 0.2878
0.1776 0.8224 0.2878
0.3333 0.6667 0.9155
0.3551 0.1776 0.7122
0.6449 0.8224 0.2878
0.6667 0.3333 0.0845
0.8224 0.1776 0.7122
0.8224 0.6449 0.7122
```

Values from the calculation:
V	481.9	Å³ per cell
theoretical density	2.46	g cm⁻³
SG	P-3m1, No. 164
uncorrected formation energy	-1417	meV/atom



(13)
K2MnTlCl8: relaxed, PBE-GGA.

```
K2MnTlCl8
1.0
7.0249 0.0000 0.0000
2.9278 7.1235 0.0000
2.2425 1.1965 7.4931
K Mn Tl Cl
2 1 1 8
Direct
0.1083 0.1582 0.1731
0.8917 0.8418 0.8269
0.5000 0.5000 0.0000
0.5000 0.5000 0.5000
0.2622 0.4315 0.8241
0.2682 0.4652 0.2733
0.2826 0.8415 0.4873
0.3186 0.8160 0.9531
0.6814 0.1840 0.0469
0.7174 0.1585 0.5127
0.7318 0.5348 0.7267
0.7378 0.5685 0.1759
```

Values from the calculation:
V	375.0	Å³ per cell
theoretical density	2.75	g cm⁻³
SG	P-1, No. 2
uncorrected formation energy	-1215	meV/atom



(14)
KMn2TlCl8: relaxed, PBE-GGA.

```
KMn2TlCl8
1.0
6.8647 0.0000 0.0000
-3.4323 5.9450 0.0000
0.0000 0.0000 10.0446
K Mn Tl Cl
1 2 1 8
Direct
0.0000 0.0000 0.0000
0.3333 0.6667 0.2849
0.6667 0.3333 0.7151
0.0000 0.0000 0.5000
0.0341 0.3396 0.2257
0.3054 0.9659 0.2257
0.3333 0.6667 0.5017
0.3396 0.3054 0.7743
0.6604 0.6946 0.2257
0.6667 0.3333 0.4983
0.6946 0.0341 0.7743
0.9659 0.6604 0.7743
```

Values from the calculation:
V	409.9	Å³ per cell
theoretical density	2.58	g cm⁻³
SG	P-3, No. 147
uncorrected formation energy	-1070	meV/atom



(15)
KMnTlCl5: relaxed, PBE-GGA.

```
KMnTlCl5
1.0
4.3006 -7.1595 0.0000
4.3006 7.1595 0.0000
-4.0631 0.0000 9.2141
K Mn Tl Cl
2 2 2 10
Direct
0.0000 0.0000 0.0000
0.0000 0.0000 0.5000
0.3215 0.6785 0.7500
0.6785 0.3215 0.2500
0.3062 0.6938 0.2500
0.6938 0.3062 0.7500
0.1116 0.8884 0.2500
0.1380 0.7027 0.8774
0.2973 0.8620 0.6226
0.3107 0.4650 0.5715
0.4650 0.3107 0.0715
0.5350 0.6893 0.9285
0.6893 0.5350 0.4285
0.7027 0.1380 0.3774
0.8620 0.2973 0.1226
0.8884 0.1116 0.7500
```

Values from the calculation:
V	567.4	Å³ per cell
theoretical density	2.78	g cm⁻³
SG	C2/c, No. 15
uncorrected formation energy	-1194	meV/atom



(16)
K3Mn2TlCl9: relaxed, PBE-GGA.

```
K3Mn2TlCl9
1.0
7.0871 0.0000 0.0000
-3.5436 6.1376 0.0000
0.0000 0.0000 10.2985
K Mn Tl Cl
3 2 1 9
Direct
0.0000 0.0000 0.0000
0.3333 0.6667 0.7519
0.6667 0.3333 0.2481
0.3333 0.6667 0.1523
0.6667 0.3333 0.8477
0.0000 0.0000 0.5000
0.0000 0.5000 0.0000
0.1702 0.3404 0.2739
0.1702 0.8298 0.2739
0.3404 0.1702 0.7261
0.5000 0.0000 0.0000
0.5000 0.5000 0.0000
0.6596 0.8298 0.2739
0.8298 0.1702 0.7261
0.8298 0.6596 0.7261
```

Values from the calculation:
V	448.0	Å³ per cell
theoretical density	2.78	g cm⁻³
SG	P-3m1, No. 164
uncorrected formation energy	-1392	meV/atom



(17)
KMnTlCl2: relaxed, PBE-GGA.

```
KMnTlCl2
1.0
5.7393 0.0000 0.0000
0.0000 5.7393 0.0000
0.0000 0.0000 6.0782
K Mn Tl Cl
1 1 1 2
Direct
0.0000 0.0000 0.0000
0.0000 0.0000 0.5000
0.5000 0.5000 0.5000
0.0000 0.5000 0.0000
0.5000 0.0000 0.0000
```

Values from the calculation:
V	200.2	Å³ per cell
theoretical density	3.06	g cm⁻³
SG	P4/mmm, No. 123
uncorrected formation energy	-105	meV/atom



(18)
KMn2Tl3Cl9: relaxed, PBE-GGA.

```
KMn2Tl3Cl9
1.0
7.1097 0.0000 0.0000
-3.5548 6.1571 0.0000
0.0000 0.0000 10.1689
K Mn Tl Cl
1 2 3 9
Direct
0.0000 0.0000 0.0000
0.3333 0.6667 0.6563
0.6667 0.3333 0.3437
0.0000 0.0000 0.5000
0.3333 0.6667 0.2484
0.6667 0.3333 0.7516
0.0000 0.5000 0.5000
0.1702 0.3404 0.7763
0.1702 0.8298 0.7763
0.3404 0.1702 0.2237
0.5000 0.0000 0.5000
0.5000 0.5000 0.5000
0.6596 0.8298 0.7763
0.8298 0.1702 0.2237
0.8298 0.6596 0.2237
```

Values from the calculation:
V	445.1	Å³ per cell
theoretical density	4.03	g cm⁻³
SG	P-3m1, No. 164
uncorrected formation energy	-1141	meV/atom



(19)
KTmMnCl6: relaxed, PBE-GGA.

```
KTmMnCl6
1.0
6.4274 0.0000 0.0000
-3.2137 5.5663 0.0000
0.0000 0.0000 14.3023
K Tm Mn Cl
2 2 2 12
Direct
0.0000 0.0000 0.0000
0.0000 0.0000 0.5000
0.3333 0.6667 0.2500
0.6667 0.3333 0.7500
0.3333 0.6667 0.7500
0.6667 0.3333 0.2500
0.0278 0.3788 0.6504
0.0278 0.6490 0.8496
0.3510 0.3788 0.8496
0.3510 0.9722 0.6504
0.3788 0.0278 0.1504
0.3788 0.3510 0.3496
0.6212 0.6490 0.6504
0.6212 0.9722 0.8496
0.6490 0.0278 0.3496
0.6490 0.6212 0.1504
0.9722 0.3510 0.1504
0.9722 0.6212 0.3496
```

Values from the calculation:
V	511.7	Å³ per cell
theoretical density	3.09	g cm⁻³
SG	P-31c, No. 163
uncorrected formation energy	-1582	meV/atom